Record 1
First-principles (GGA-PBE) data for a relaxed structure of YHg2Pd3, as listed in the Alexandria database.

Output
energy above the lowest structure with this stoichiometry = 0.0 meV per atom
crystal system = orthorhombic
uncorrected energy = -51.064 eV for the cell shown
energy of formation from the pure elements = -481 meV/atom
SG = Cmmm (65)
M_tot = 0.000 μB/atom

Geometry as POSCAR:
```
YHg2Pd3
1.0
2.468 -7.379 0.000
2.468 7.379 0.000
0.000 0.000 6.321
Hg Pd Y
4 6 2
Direct
0.000 0.000 0.500
0.330 0.670 0.500
0.670 0.330 0.500
0.000 0.000 0.000
0.500 0.500 0.272
0.500 0.500 0.728
0.832 0.168 0.248
0.832 0.168 0.752
0.168 0.832 0.248
0.168 0.832 0.752
0.658 0.342 0.000
0.342 0.658 0.000
```

Record 2
First-principles (GGA-PBE) data for a relaxed structure of YHg2Pd3, as listed in the Alexandria database.

Output
energy above the lowest structure with this stoichiometry = 25.0 meV per atom
crystal system = orthorhombic
uncorrected energy = -50.764 eV for the cell shown
energy of formation from the pure elements = -456 meV/atom
SG = Pmc2_1 (26)
M_tot = 0.000 μB/atom

Geometry as POSCAR:
```
YHg2Pd3
1.0
4.452 0.000 0.000
0.000 6.225 0.000
0.000 0.000 8.612
Y Hg Pd
2 4 6
Direct
0.000 0.374 0.128
0.000 0.874 0.872
0.000 0.894 0.245
0.500 0.237 0.419
0.000 0.394 0.755
0.500 0.737 0.581
0.500 0.545 0.928
0.000 0.023 0.554
0.500 0.629 0.245
0.500 0.045 0.072
0.000 0.523 0.446
0.500 0.129 0.755
```

Record 3
First-principles (GGA-PBE) data for a relaxed structure of Y3HgPd12, as listed in the Alexandria database.

Output
crystal system = tetragonal
uncorrected energy = -92.567 eV for the cell shown
energy of formation from the pure elements = -660 meV/atom
SG = P4/mmm (123)
M_tot = 0.000 μB/atom

Geometry as POSCAR:
```
Y3HgPd12
1.0
-2.090 3.524 -0.313
-3.531 -2.100 -0.074
-0.899 0.932 16.473
Y Pd Hg
3 12 1
Direct
0.000 0.000 0.753
0.000 0.000 0.500
0.000 0.000 0.247
0.500 0.000 0.877
0.500 0.500 0.000
0.500 0.500 0.249
0.000 0.500 0.374
0.000 0.500 0.626
0.500 0.000 0.123
0.000 0.500 0.877
0.000 0.500 0.123
0.500 0.500 0.500
0.500 0.500 0.751
0.500 0.000 0.374
0.500 0.000 0.626
0.000 0.000 0.000
```

Record 4
First-principles (GGA-PBE) data for a relaxed structure of YHg2Pd4, as listed in the Alexandria database.

Output
energy above the lowest structure with this stoichiometry = 0.0 meV per atom
crystal system = triclinic
uncorrected energy = -61.293 eV for the cell shown
energy of formation from the pure elements = -401 meV/atom
SG = P1 (1)
M_tot = 0.000 μB/atom

Geometry as POSCAR:
```
YHg2Pd4
1.0
-3.274 -2.660 4.871
6.081 -1.814 1.037
-0.830 7.679 0.890
Y Hg Pd
2 4 8
Direct
0.362 0.653 0.500
0.097 0.888 0.000
0.549 0.324 0.155
0.082 0.357 0.656
0.648 0.930 0.338
0.658 0.441 0.838
0.512 0.825 0.930
0.971 0.732 0.280
0.248 0.031 0.731
0.194 0.489 0.066
0.799 0.059 0.780
0.825 0.620 0.565
0.949 0.232 0.231
0.355 0.168 0.430
```

Record 5
First-principles (GGA-PBE) data for a relaxed structure of YHg2Pd5, as listed in the Alexandria database.

Output
energy above the lowest structure with this stoichiometry = 96.6 meV per atom
crystal system = tetragonal
uncorrected energy = -72.196 eV for the cell shown
energy of formation from the pure elements = -383 meV/atom
SG = I4/mcm (140)
M_tot = 0.000 μB/atom

Geometry as POSCAR:
```
YHg2Pd5
1.0
7.292 0.000 0.000
0.000 7.292 0.000
-3.646 -3.646 5.600
Pd Hg Y
10 4 2
Direct
0.526 0.311 0.336
0.474 0.689 0.664
0.189 0.974 0.664
0.689 0.189 0.664
0.311 0.811 0.336
0.500 0.500 0.000
0.000 0.000 0.000
0.974 0.474 0.664
0.811 0.026 0.336
0.026 0.526 0.336
0.155 0.345 0.000
0.345 0.845 0.000
0.655 0.155 0.000
0.845 0.655 0.000
0.750 0.750 0.500
0.250 0.250 0.500
```

Record 6
First-principles (GGA-PBE) data for a relaxed structure of Y3Hg2Pd6, as listed in the Alexandria database.

Output
crystal system = tetragonal
uncorrected energy = -56.821 eV for the cell shown
energy of formation from the pure elements = -515 meV/atom
SG = I4/mmm (139)
M_tot = 0.000 μB/atom

Geometry as POSCAR:
```
Y3Hg2Pd6
1.0
-3.058 -0.319 2.363
-1.087 -3.235 -1.842
10.622 -6.742 9.654
Y Pd Hg
3 6 2
Direct
0.815 0.815 0.629
0.000 0.000 0.000
0.185 0.185 0.371
0.568 0.068 0.136
0.724 0.724 0.449
0.276 0.276 0.551
0.068 0.568 0.136
0.432 0.932 0.864
0.932 0.432 0.864
0.633 0.633 0.266
0.367 0.367 0.734
```

Record 7
First-principles (GGA-PBE) data for a relaxed structure of YHgPd2, as listed in the Alexandria database.

Output
crystal system = orthorhombic
uncorrected energy = -39.773 eV for the cell shown
energy of formation from the pure elements = -684 meV/atom
SG = Pmmn (59)
M_tot = 0.000 μB/atom

Geometry as POSCAR:
```
YHgPd2
1.0
4.965 0.000 0.000
0.000 5.122 0.000
0.000 0.000 6.127
Hg Pd Y
2 4 2
Direct
0.000 0.293 0.500
0.500 0.707 0.000
0.500 0.187 0.251
0.000 0.813 0.751
0.500 0.187 0.749
0.000 0.813 0.249
0.500 0.689 0.500
0.000 0.311 0.000
```

Record 8
First-principles (GGA-PBE) data for a relaxed structure of YHg4Pd7, as listed in the Alexandria database.

Output
crystal system = monoclinic
uncorrected energy = -46.024 eV for the cell shown
energy of formation from the pure elements = -167 meV/atom
SG = C2/m (12)
M_tot = 0.000 μB/atom

Geometry as POSCAR:
```
YHg4Pd7
1.0
5.089 0.000 0.000
2.544 8.656 -0.230
2.544 0.166 5.306
Hg Pd Y
4 7 1
Direct
0.263 0.321 0.154
0.737 0.679 0.846
0.416 0.768 0.401
0.584 0.232 0.599
0.788 0.920 0.503
0.655 0.460 0.231
0.960 0.369 0.711
0.500 0.000 0.000
0.212 0.080 0.497
0.345 0.540 0.769
0.040 0.631 0.289
0.000 0.000 0.000
```

Record 9
First-principles (GGA-PBE) data for a relaxed structure of Y2Hg2Pd5, as listed in the Alexandria database.

Output
crystal system = orthorhombic
uncorrected energy = -86.626 eV for the cell shown
energy of formation from the pure elements = -424 meV/atom
SG = Ima2 (46)
M_tot = 0.000 μB/atom

Geometry as POSCAR:
```
Y2Hg2Pd5
1.0
-5.560 -2.856 3.854
4.247 -1.191 5.244
-0.915 8.911 -1.713
Pd Hg Y
10 4 4
Direct
0.919 0.600 0.500
0.081 0.100 0.500
0.485 0.549 0.324
0.661 0.725 0.676
0.339 0.049 0.324
0.515 0.225 0.676
0.191 0.264 0.027
0.664 0.737 0.973
0.336 0.764 0.027
0.809 0.237 0.973
0.728 0.953 0.500
0.000 0.915 0.000
0.272 0.453 0.500
0.500 0.415 0.000
0.050 0.666 0.239
0.689 0.166 0.239
0.311 0.927 0.761
0.950 0.427 0.761
```

Record 10
First-principles (GGA-PBE) data for a relaxed structure of Y3Hg4Pd4, as listed in the Alexandria database.

Output
crystal system = orthorhombic
uncorrected energy = -47.520 eV for the cell shown
energy of formation from the pure elements = -559 meV/atom
SG = Immm (71)
M_tot = 0.000 μB/atom

Geometry as POSCAR:
```
Y3Hg4Pd4
1.0
-2.615 -0.496 2.693
3.124 -7.055 1.734
4.657 7.282 3.203
Y Pd Hg
3 4 4
Direct
0.113 0.113 0.227
0.000 0.500 0.000
0.887 0.887 0.773
0.500 0.188 0.000
0.750 0.250 0.500
0.250 0.750 0.500
0.500 0.812 0.000
0.660 0.471 0.321
0.340 0.150 0.679
0.340 0.529 0.679
0.660 0.850 0.321
```

Record 11
First-principles (GGA-PBE) data for a relaxed structure of Y2HgPd2, as listed in the Alexandria database.

Output
crystal system = tetragonal
uncorrected energy = -26.486 eV for the cell shown
energy of formation from the pure elements = -574 meV/atom
SG = I4/mmm (139)
M_tot = 0.000 μB/atom

Geometry as POSCAR:
```
Y2HgPd2
1.0
3.941 0.000 0.000
0.000 3.941 0.000
1.971 1.971 7.666
Y Pd Hg
2 2 1
Direct
0.385 0.385 0.231
0.615 0.615 0.769
0.750 0.250 0.500
0.250 0.750 0.500
0.000 0.000 0.000
```

Record 12
First-principles (GGA-PBE) data for a relaxed structure of Y4HgPd12, as listed in the Alexandria database.

Output
crystal system = cubic
uncorrected energy = -101.072 eV for the cell shown
energy of formation from the pure elements = -741 meV/atom
SG = Im-3m (229)
M_tot = 0.000 μB/atom

Geometry as POSCAR:
```
Y4HgPd12
1.0
-3.245 -6.689 0.254
-0.149 2.565 -6.981
7.057 -0.580 2.279
Y Pd Hg
4 12 1
Direct
0.500 0.000 0.000
0.000 0.000 0.500
0.500 0.500 0.500
0.000 0.500 0.000
0.305 0.305 0.000
0.250 0.500 0.750
0.695 0.695 0.000
0.500 0.250 0.750
0.500 0.750 0.250
0.695 0.000 0.695
0.000 0.305 0.305
0.750 0.250 0.500
0.305 0.000 0.305
0.000 0.695 0.695
0.750 0.500 0.250
0.250 0.750 0.500
0.000 0.000 0.000
```